No. 1
CuSb2Au: optimized geometry, GGA-PBE.

Unit cell a=3.3143 b=3.3143 c=7.9887 alpha=90.00 beta=90.00 gamma=103.90
Last column: nearest neighbours and their distance in Å.
Fractional coordinates of all 4 atoms:
Sb: 0.0000 0.0000 0.9794  2 Cu 2.74, 2 Au 2.97
Sb: 0.0000 0.0000 0.5206  2 Cu 2.74, 2 Au 2.97
Au: 0.5000 0.5000 0.2500  4 Sb 2.97, 4 Au 3.31
Cu: 0.5000 0.5000 0.7500  4 Sb 2.74

Computed properties:
Crystal system ... orthorhombic
Spin magnetization ... 0.00 Bohr magnetons per cell
E above lowest polymorph ... 0.82 eV/f.u.
Formation energy (no corrections) ... 0.22 eV/atom
VASP energy ... -3.69 eV/atom

---

No. 2
CuSb2Au: optimized geometry, GGA-PBE.

Unit cell a=6.8130 b=6.8130 c=6.8130 alpha=33.91 beta=33.91 gamma=33.91
Last column: nearest neighbours and their distance in Å.
Fractional coordinates of all 4 atoms:
Cu: 0.7500 0.7500 0.7500  6 Sb 2.71
Sb: 0.4918 0.4918 0.4918  3 Cu 2.71, 3 Au 2.89
Sb: 0.0082 0.0082 0.0082  3 Cu 2.71, 3 Au 2.89
Au: 0.2500 0.2500 0.2500  6 Sb 2.89

Computed properties:
Crystal system ... trigonal
Spin magnetization ... 0.00 Bohr magnetons per cell
E above lowest polymorph ... 0.19 eV/f.u.
Formation energy (no corrections) ... 0.06 eV/atom
VASP energy ... -3.84 eV/atom